Entry 1:
# RbGa3Pb PBE relaxed
# formation energy = 0.3415 eV/atom
data_RbGa3Pb
_cell_length_a 5.777
_cell_length_b 5.777
_cell_length_c 5.777
_cell_angle_alpha 90.00
_cell_angle_beta 90.00
_cell_angle_gamma 90.00
_symmetry_space_group_name_H-M 'P 1'
_symmetry_Int_Tables_number 1
_symmetry_space_group_name_Hall 'P 1'
loop_
_atom_site_label
_atom_site_fract_x
_atom_site_fract_y
_atom_site_fract_z
Rb1 0.000 0.000 0.000
Ga1 0.000 0.500 0.500
Ga2 0.500 0.000 0.500
Ga3 0.500 0.500 0.000
Pb1 0.500 0.500 0.500


Entry 2:
# KBaRe2 PBE relaxed
# formation energy = 0.6555 eV/atom
data_KBaRe2
_cell_length_a 7.296
_cell_length_b 4.212
_cell_length_c 9.843
_cell_angle_alpha 90.00
_cell_angle_beta 104.24
_cell_angle_gamma 90.00
_symmetry_space_group_name_H-M 'P 1'
_symmetry_Int_Tables_number 1
_symmetry_space_group_name_Hall 'P 1'
loop_
_atom_site_label
_atom_site_fract_x
_atom_site_fract_y
_atom_site_fract_z
K1 0.000 0.000 0.000
K2 0.500 0.500 0.000
Ba1 0.323 0.500 0.467
Ba2 0.823 0.000 0.467
Re1 0.069 0.500 0.706
Re2 0.246 0.000 0.736
Re3 0.569 0.000 0.706
Re4 0.746 0.500 0.736